Entry 1:
AlIn2Ni: relaxed, PBE.

Computed properties:
Space-group type: P4/mmm (123)
ρ, g/cm³: 7.1
V, Å³ per atom: 18.5
Energy of formation from the pure elements, eV/atom: 0.17
E, eV per cell: -14.31
Crystal system: tetragonal

Cell lengths 4.2301, 4.2301, 4.1267 Å; angles 90.00, 90.00, 90.00 degrees
With the nearest neighbours (Å) after each atom.
Atoms (fractional coordinates):
1 In 0.5000 0.5000 0.0000  4 Ni 2.95, 4 Al 2.95, 4 In 2.99
2 In 0.0000 0.0000 0.0000  4 Ni 2.95, 4 Al 2.95, 4 In 2.99
3 Ni 0.5000 0.0000 0.5000  8 In 2.95, 4 Al 2.99
4 Al 0.0000 0.5000 0.5000  8 In 2.95, 4 Ni 2.99

---

Entry 2:
AlIn2Ni: relaxed, PBE.

Computed properties:
Space-group type: Pm (6)
ρ, g/cm³: 6.8
V, Å³ per atom: 19.3
Energy of formation from the pure elements, eV/atom: -0.02
E, eV per cell: -15.08
Crystal system: monoclinic

Cell lengths 3.9616, 3.8948, 5.3874 Å; angles 68.21, 90.00, 90.00 degrees
With the nearest neighbours (Å) after each atom.
Atoms (fractional coordinates):
1 Ni 0.0000 0.6919 0.4859  2 Al 2.39
2 In 0.0000 0.9694 0.9343  3 Ni 2.76-2.99, 4 Al 2.92
3 In 0.5000 0.2783 0.3253  3 Al 2.86-2.91, 4 Ni 2.88-2.90
4 Al 0.5000 0.5604 0.7546  2 Ni 2.39

---

Entry 3:
AlInNi3: relaxed, PBE.

Computed properties:
Space-group type: Pm-3m (221)
ρ, g/cm³: 6.6
V, Å³ per atom: 15.9
Energy of formation from the pure elements, eV/atom: 0.39
E, eV per cell: -21.88
Crystal system: cubic

Cell lengths 4.3005, 4.3005, 4.3005 Å; angles 90.00, 90.00, 90.00 degrees
With the nearest neighbours (Å) after each atom.
Atoms (fractional coordinates):
1 Al 0.0000 0.0000 0.0000  6 Ni 2.15
2 Ni 0.5000 0.0000 0.0000  2 Al 2.15
3 Ni 0.0000 0.0000 0.5000  2 Al 2.15
4 Ni 0.0000 0.5000 0.0000  2 Al 2.15
5 In 0.5000 0.5000 0.5000  12 Ni 3.04